Density functional theory data (meta-GGA SCAN) for Mg2ReTc at its PBEsol-relaxed geometry.

Space-group type   R-3m
E   -114.92 eV/cell
Size of the total moment   0.00 μB per atom
Density of states at the Fermi level   2.87 states/eV/cell
Formation energy from the elements   0.296 eV per atom

a b c (Å): 2.779 2.779 9.469
angles (deg): 81.56 81.56 60.00
Fractional positions:
Mg: 0.251 0.251 0.248
Mg: 0.749 0.749 0.752
Re: 0.500 0.500 0.500
Tc: 0.000 0.000 0.000


Density functional theory data (meta-GGA SCAN) for Nb3GaF at its PBEsol-relaxed geometry.

Space-group type   Pm-3m
E   -120.50 eV/cell
Size of the total moment   0.00 μB per atom
Density of states at the Fermi level   3.89 states/eV/cell
Raw formation energy   -0.2459 eV per atom

a b c (Å): 4.254 4.254 4.254
angles (deg): 90.00 90.00 90.00
Fractional positions:
Nb: 0.000 0.500 0.000
Nb: 0.000 0.000 0.500
Nb: 0.500 0.000 0.000
Ga: 0.500 0.500 0.500
F: 0.000 0.000 0.000


Density functional theory data (meta-GGA SCAN) for In2CuTe3Cl at its PBEsol-relaxed geometry.

Space-group type   P1
E   -204.61 eV/cell
Size of the total moment   0.00 μB per atom
Raw formation energy   -0.4159 eV per atom

a b c (Å): 5.819 6.366 7.431
angles (deg): 64.21 68.59 90.86
Fractional positions:
Cl: 0.120 0.675 0.260
Te: 0.419 0.347 0.713
Te: 0.800 0.863 0.762
Te: 0.633 0.158 0.278
Cu: 0.569 0.440 0.950
In: 0.969 0.009 0.005
In: 0.239 0.757 0.531


Density functional theory data (meta-GGA SCAN) for SrSbIr2 at its PBEsol-relaxed geometry.

Space-group type   P4/mmm
E   -201.51 eV/cell
Size of the total moment   0.00 μB per atom
Density of states at the Fermi level   1.53 states/eV/cell
Raw formation energy   0.0568 eV per atom

a b c (Å): 3.172 3.172 7.774
angles (deg): 90.00 90.00 90.00
Fractional positions:
Ir: 0.000 0.000 0.801
Ir: 0.000 0.000 0.199
Sb: 0.500 0.500 0.000
Sr: 0.500 0.500 0.500


Density functional theory data (meta-GGA SCAN) for Mg2ZnCuPb at its PBEsol-relaxed geometry.

Space-group type   P4/mmm
E   -111.64 eV/cell
Size of the total moment   0.00 μB per atom
Density of states at the Fermi level   2.32 states/eV/cell
Formation energy from the elements   0.561 eV per atom

a b c (Å): 4.874 4.874 5.254
angles (deg): 90.00 90.00 90.00
Fractional positions:
Pb: 0.000 0.000 0.500
Zn: 0.000 0.000 0.000
Mg: 0.000 0.500 0.000
Mg: 0.500 0.000 0.000
Cu: 0.500 0.500 0.500


Density functional theory data (meta-GGA SCAN) for BiO2 at its PBEsol-relaxed geometry.

Space-group type   P4_2/mnm
E   -374.64 eV/cell
Size of the total moment   0.00 μB per atom
Density of states at the Fermi level   4.26 states/eV/cell
Raw formation energy   -0.8725 eV per atom

a b c (Å): 6.217 6.217 6.217
angles (deg): 108.82 108.82 110.78
Fractional positions:
Bi: 0.250 0.250 0.500
Bi: 0.750 0.750 0.500
Bi: 0.000 0.500 0.000
Bi: 0.500 0.000 0.000
O: 0.307 0.500 0.307
O: 0.750 0.442 0.192
O: 0.808 0.000 0.307
O: 0.750 0.058 0.807
O: 0.250 0.942 0.193
O: 0.250 0.558 0.808
O: 0.192 0.000 0.693
O: 0.693 0.500 0.693


Density functional theory data (meta-GGA SCAN) for LiTaNi2 at its PBEsol-relaxed geometry.

Space-group type   C2/m
E   -100.68 eV/cell
Size of the total moment   0.00 μB per atom
Density of states at the Fermi level   3.18 states/eV/cell
Formation energy from the elements   0.159 eV per atom

a b c (Å): 2.609 4.208 4.839
angles (deg): 96.17 90.00 108.06
Fractional positions:
Li: 0.500 0.000 0.000
Ni: 0.753 0.506 0.769
Ni: 0.247 0.494 0.231
Ta: 0.000 0.000 0.500


Density functional theory data (meta-GGA SCAN) for Bi3HOs at its PBEsol-relaxed geometry.

Space-group type   Pm-3m
E   -305.02 eV/cell
Size of the total moment   0.00 μB per atom
Density of states at the Fermi level   3.38 states/eV/cell

a b c (Å): 4.650 4.650 4.650
angles (deg): 90.00 90.00 90.00
Fractional positions:
H: 0.000 0.000 0.000
Os: 0.500 0.500 0.500
Bi: 0.000 0.500 0.000
Bi: 0.000 0.000 0.500
Bi: 0.500 0.000 0.000


Density functional theory data (meta-GGA SCAN) for Mn2IrRu at its PBEsol-relaxed geometry.

Space-group type   Amm2
E   -142.59 eV/cell
Size of the total moment   0.00 μB per atom
Density of states at the Fermi level   3.34 states/eV/cell
Formation energy from the elements   -0.039 eV per atom

a b c (Å): 2.620 3.916 4.884
angles (deg): 90.00 105.56 90.00
Fractional positions:
Ru: 0.080 0.000 0.161
Ir: 0.420 0.500 0.841
Mn: 0.809 0.000 0.619
Mn: 0.689 0.500 0.379


Density functional theory data (meta-GGA SCAN) for Tl2NiCl at its PBEsol-relaxed geometry.

Space-group type   I-4m2
E   -168.34 eV/cell
Size of the total moment   0.23 μB per atom
Density of states at the Fermi level   2.35 states/eV/cell
Raw formation energy   0.1314 eV per atom

a b c (Å): 3.999 3.999 6.366
angles (deg): 108.31 108.31 90.00
Fractional positions:
Cl: 0.500 0.500 0.000
Ni: 0.250 0.750 0.500
Tl: 0.000 0.000 0.000
Tl: 0.750 0.250 0.500


Density functional theory data (meta-GGA SCAN) for BaSbPb4 at its PBEsol-relaxed geometry.

Space-group type   F-43m
E   -381.11 eV/cell
Size of the total moment   0.00 μB per atom
Density of states at the Fermi level   4.07 states/eV/cell
Raw formation energy   -0.1951 eV per atom

a b c (Å): 6.466 6.466 6.466
angles (deg): 60.00 60.00 60.00
Fractional positions:
Ba: 0.000 0.000 0.000
Pb: 0.376 0.376 0.376
Pb: 0.376 0.376 0.873
Pb: 0.873 0.376 0.376
Pb: 0.376 0.873 0.376
Sb: 0.750 0.750 0.750


Density functional theory data (meta-GGA SCAN) for Al3Re at its PBEsol-relaxed geometry.

Space-group type   R-3m
E   -94.58 eV/cell
Size of the total moment   0.00 μB per atom
Density of states at the Fermi level   2.79 states/eV/cell
Formation energy from the elements   -0.057 eV per atom

a b c (Å): 2.847 2.847 8.834
angles (deg): 80.73 80.73 60.00
Fractional positions:
Re: 0.000 0.000 0.000
Al: 0.746 0.746 0.762
Al: 0.500 0.500 0.500
Al: 0.254 0.254 0.238


Density functional theory data (meta-GGA SCAN) for Mg3InSb at its PBEsol-relaxed geometry.

Space-group type   Pm-3m
E   -84.17 eV/cell
Size of the total moment   0.00 μB per atom
Density of states at the Fermi level   3.11 states/eV/cell
Raw formation energy   0.2797 eV per atom

a b c (Å): 5.223 5.223 5.223
angles (deg): 90.00 90.00 90.00
Fractional positions:
Sb: 0.500 0.500 0.500
Mg: 0.000 0.500 0.000
Mg: 0.000 0.000 0.500
Mg: 0.500 0.000 0.000
In: 0.000 0.000 0.000


Density functional theory data (meta-GGA SCAN) for Er2WO6 at its PBEsol-relaxed geometry.

Space-group type   P2_12_12_1
E   -950.41 eV/cell
Size of the total moment   0.00 μB per atom
Density of states at the Fermi level   0.00 states/eV/cell
Raw formation energy   -3.3163 eV per atom

a b c (Å): 5.158 8.956 9.755
angles (deg): 90.00 90.00 90.00
Fractional positions:
Er: 0.481 0.603 0.533
Er: 0.981 0.897 0.467
Er: 0.519 0.103 0.967
Er: 0.019 0.397 0.033
Er: 0.959 0.780 0.873
Er: 0.459 0.720 0.127
Er: 0.041 0.280 0.627
Er: 0.541 0.220 0.373
W: 0.460 0.995 0.653
W: 0.960 0.505 0.347
W: 0.540 0.495 0.847
W: 0.040 0.005 0.153
O: 0.251 0.091 0.504
O: 0.751 0.409 0.496
O: 0.749 0.591 0.996
O: 0.249 0.909 0.004
O: 0.735 0.114 0.567
O: 0.235 0.386 0.433
O: 0.265 0.614 0.933
O: 0.765 0.886 0.067
O: 0.584 0.842 0.530
O: 0.084 0.658 0.470
O: 0.416 0.342 0.970
O: 0.916 0.158 0.030
O: 0.195 0.858 0.266
O: 0.695 0.642 0.734
O: 0.805 0.358 0.234
O: 0.305 0.142 0.766
O: 0.822 0.047 0.300
O: 0.322 0.453 0.700
O: 0.178 0.547 0.200
O: 0.678 0.953 0.800
O: 0.324 0.137 0.182
O: 0.824 0.363 0.818
O: 0.676 0.637 0.318
O: 0.176 0.863 0.682


Density functional theory data (meta-GGA SCAN) for Be2TlBr at its PBEsol-relaxed geometry.

Space-group type   I-42d
E   -197.47 eV/cell
Size of the total moment   0.00 μB per atom
Density of states at the Fermi level   0.96 states/eV/cell
Raw formation energy   0.4478 eV per atom

a b c (Å): 5.793 6.365 5.793
angles (deg): 62.93 90.00 117.07
Fractional positions:
Be: 0.611 0.750 0.375
Be: 0.139 0.750 0.875
Be: 0.875 0.250 0.611
Be: 0.375 0.250 0.139
Tl: 0.750 0.500 0.750
Tl: 0.000 0.000 0.000
Br: 0.250 0.500 0.250
Br: 0.500 0.000 0.500


Density functional theory data (meta-GGA SCAN) for Ga3Ni20B6 at its PBEsol-relaxed geometry.

Space-group type   Fm-3m
E   -426.31 eV/cell
Size of the total moment   0.00 μB per atom
Density of states at the Fermi level   10.30 states/eV/cell
Formation energy from the elements   -0.318 eV per atom

a b c (Å): 7.335 7.335 7.335
angles (deg): 60.00 60.00 60.00
Fractional positions:
Ga: 0.000 0.000 0.000
Ga: 0.250 0.250 0.250
Ga: 0.750 0.750 0.750
Ni: 0.662 0.000 0.000
Ni: 0.000 0.662 0.338
Ni: 0.338 0.000 0.000
Ni: 0.000 0.338 0.662
Ni: 0.662 0.000 0.338
Ni: 0.662 0.338 0.000
Ni: 0.000 0.662 0.000
Ni: 0.000 0.000 0.662
Ni: 0.000 0.338 0.000
Ni: 0.338 0.662 0.000
Ni: 0.338 0.000 0.662
Ni: 0.000 0.000 0.338
Ni: 0.854 0.382 0.382
Ni: 0.382 0.854 0.382
Ni: 0.382 0.382 0.382
Ni: 0.382 0.382 0.854
Ni: 0.146 0.618 0.618
Ni: 0.618 0.146 0.618
Ni: 0.618 0.618 0.146
Ni: 0.618 0.618 0.618
B: 0.276 0.276 0.724
B: 0.724 0.724 0.276
B: 0.276 0.724 0.724
B: 0.276 0.724 0.276
B: 0.724 0.276 0.276
B: 0.724 0.276 0.724


Density functional theory data (meta-GGA SCAN) for KLi3Pd at its PBEsol-relaxed geometry.

Space-group type   Pm-3m
E   -44.19 eV/cell
Size of the total moment   0.00 μB per atom
Density of states at the Fermi level   1.76 states/eV/cell
Formation energy from the elements   0.816 eV per atom

a b c (Å): 4.585 4.585 4.585
angles (deg): 90.00 90.00 90.00
Fractional positions:
K: 0.000 0.000 0.000
Pd: 0.500 0.500 0.500
Li: 0.000 0.500 0.000
Li: 0.000 0.000 0.500
Li: 0.500 0.000 0.000


Density functional theory data (meta-GGA SCAN) for MnRu3N at its PBEsol-relaxed geometry.

Space-group type   Pm-3m
E   -131.73 eV/cell
Size of the total moment   0.82 μB per atom
Density of states at the Fermi level   5.83 states/eV/cell
Raw formation energy   0.0599 eV per atom

a b c (Å): 3.953 3.953 3.953
angles (deg): 90.00 90.00 90.00
Fractional positions:
Ru: 0.000 0.500 0.000
Ru: 0.000 0.000 0.500
Ru: 0.500 0.000 0.000
Mn: 0.500 0.500 0.500
N: 0.000 0.000 0.000


Density functional theory data (meta-GGA SCAN) for Fe2Se at its PBEsol-relaxed geometry.

Space-group type   Cmcm
E   -112.20 eV/cell
Size of the total moment   0.00 μB per atom
Density of states at the Fermi level   1.55 states/eV/cell
Raw formation energy   0.0788 eV per atom

a b c (Å): 3.428 3.487 7.639
angles (deg): 90.00 102.97 90.00
Fractional positions:
Fe: 0.553 0.750 0.107
Fe: 0.950 0.750 0.901
Fe: 0.050 0.250 0.099
Fe: 0.447 0.250 0.893
Se: 0.341 0.750 0.681
Se: 0.659 0.250 0.319


Density functional theory data (meta-GGA SCAN) for CaRe3Sn at its PBEsol-relaxed geometry.

Space-group type   Pm-3m
E   -242.35 eV/cell
Size of the total moment   0.46 μB per atom
Density of states at the Fermi level   3.69 states/eV/cell
Formation energy from the elements   3.304 eV per atom

a b c (Å): 4.596 4.596 4.596
angles (deg): 90.00 90.00 90.00
Fractional positions:
Re: 0.000 0.500 0.000
Re: 0.000 0.000 0.500
Re: 0.500 0.000 0.000
Ca: 0.000 0.000 0.000
Sn: 0.500 0.500 0.500